{
  "formula": "LiZrOs",
  "functional": "PBEsol",
  "state": "relaxed",
  "sg": "No. 42",
  "ef_ev_per_atom": 0.25,
  "cell": [[-0.447, 2.087, 1.862], [-2.217, -0.306, -1.737], [-1.468, -5.386, 4.304]],
  "species": ["Li", "Os", "Zr"],
  "fractional_positions": [[0.984, 0.984, 0.968], [0.333, 0.333, 0.667], [0.683, 0.683, 0.366]]
}

{
  "formula": "Ta2MoW",
  "functional": "PBEsol",
  "state": "relaxed",
  "sg": "No. 216",
  "ef_ev_per_atom": -0.08,
  "cell": [[4.523, 0.000, 0.000], [2.262, 3.917, 0.000], [2.262, 1.306, 3.693]],
  "species": ["W", "Mo", "Ta", "Ta"],
  "fractional_positions": [[0.250, 0.250, 0.250], [0.500, 0.500, 0.500], [0.750, 0.750, 0.750], [0.000, 0.000, 0.000]]
}

{
  "formula": "Cu5Ag",
  "functional": "PBEsol",
  "state": "relaxed",
  "sg": "No. 8",
  "ef_ev_per_atom": 0.08,
  "cell": [[2.603, 0.000, 0.000], [-1.302, 4.793, -0.028], [0.000, -1.660, 5.901]],
  "species": ["Ag", "Cu", "Cu", "Cu", "Cu", "Cu"],
  "fractional_positions": [[0.005, 0.011, 0.007], [0.726, 0.451, 0.933], [0.332, 0.663, 0.661], [0.053, 0.105, 0.601], [0.672, 0.344, 0.350], [0.380, 0.759, 0.281]]
}

{
  "formula": "Gd3Se4O12F",
  "functional": "PBEsol",
  "state": "relaxed",
  "total_energy_ev_per_cell": -328.63,
  "sg": "No. 186",
  "cell": [[6.874, 0.000, 0.000], [0.000, 10.435, 0.000], [0.000, -5.218, 9.037]],
  "species": ["O", "O", "O", "O", "O", "O", "O", "O", "O", "O", "O", "O", "O", "O", "O", "O", "O", "O", "O", "O", "O", "O", "O", "O", "Se", "Se", "Se", "Se", "Se", "Se", "Se", "Se", "Gd", "Gd", "Gd", "Gd", "Gd", "Gd", "F", "F"],
  "fractional_positions": [[0.407, 0.419, 0.837], [0.780, 0.335, 0.417], [0.280, 0.665, 0.082], [0.407, 0.419, 0.581], [0.780, 0.082, 0.665], [0.280, 0.417, 0.335], [0.907, 0.581, 0.419], [0.591, 0.817, 0.635], [0.407, 0.163, 0.581], [0.091, 0.183, 0.365], [0.907, 0.837, 0.419], [0.280, 0.918, 0.335], [0.091, 0.183, 0.817], [0.780, 0.335, 0.918], [0.591, 0.365, 0.183], [0.591, 0.817, 0.183], [0.780, 0.583, 0.665], [0.280, 0.417, 0.082], [0.780, 0.082, 0.417], [0.091, 0.635, 0.817], [0.907, 0.581, 0.163], [0.780, 0.583, 0.918], [0.280, 0.918, 0.583], [0.280, 0.665, 0.583], [0.352, 0.310, 0.155], [0.352, 0.845, 0.690], [0.852, 0.690, 0.845], [0.852, 0.155, 0.310], [0.352, 0.845, 0.155], [0.521, 0.333, 0.667], [0.852, 0.155, 0.845], [0.021, 0.667, 0.333], [0.083, 0.462, 0.924], [0.583, 0.538, 0.076], [0.083, 0.076, 0.538], [0.083, 0.462, 0.538], [0.583, 0.538, 0.462], [0.583, 0.924, 0.462], [0.535, 0.667, 0.333], [0.035, 0.333, 0.667]]
}

{
  "formula": "Ge3SbPd",
  "functional": "PBEsol",
  "state": "relaxed",
  "total_energy_ev_per_cell": -24.15,
  "sg": "No. 221",
  "cell": [[4.813, 0.000, 0.000], [0.000, 4.813, 0.000], [0.000, 0.000, 4.813]],
  "species": ["Pd", "Ge", "Ge", "Ge", "Sb"],
  "fractional_positions": [[0.000, 0.000, 0.000], [0.500, 0.000, 0.000], [0.000, 0.000, 0.500], [0.000, 0.500, 0.000], [0.500, 0.500, 0.500]]
}

{
  "formula": "Ca2LaBe2",
  "functional": "PBEsol",
  "state": "relaxed",
  "sg": "No. 139",
  "ef_ev_per_atom": 0.63,
  "cell": [[-2.912, -3.958, -1.522], [3.120, -3.250, 2.483], [-2.896, 4.073, 3.642]],
  "species": ["La", "Be", "Be", "Ca", "Ca"],
  "fractional_positions": [[0.000, 0.000, 0.000], [0.250, 0.750, 0.500], [0.750, 0.250, 0.500], [0.656, 0.656, 0.311], [0.344, 0.344, 0.689]]
}

{
  "formula": "TaCrP2O",
  "functional": "PBEsol",
  "state": "relaxed",
  "total_energy_ev_per_cell": -40.43,
  "sg": "No. 123",
  "cell": [[3.368, 0.000, 0.000], [0.000, 4.593, 0.000], [0.000, 0.000, 4.593]],
  "species": ["Ta", "P", "P", "O", "Cr"],
  "fractional_positions": [[0.500, 0.500, 0.500], [0.000, 0.500, 0.000], [0.000, 0.000, 0.500], [0.500, 0.000, 0.000], [0.000, 0.000, 0.000]]
}

{
  "formula": "YTiS2",
  "functional": "PBEsol",
  "state": "relaxed",
  "sg": "No. 122",
  "polymorph_energy_ev_per_atom": 0.000,
  "cell": [[-0.551, -1.259, -5.461], [-2.602, -4.802, 1.370], [-3.575, 5.789, 1.929]],
  "species": ["Y", "Y", "S", "S", "S", "S", "Ti", "Ti"],
  "fractional_positions": [[0.000, 0.000, 0.000], [0.250, 0.750, 0.500], [0.833, 0.375, 0.250], [0.125, 0.167, 0.750], [0.625, 0.583, 0.750], [0.417, 0.875, 0.250], [0.500, 0.500, 0.000], [0.750, 0.250, 0.500]]
}

| no. | calculated density (Mg/m³) | M_tot (μB/cell) |
| --- | --- | --- |
| 1 | 9.32 | 0.0 |
| 2 | 16.28 | 0.0 |
| 3 | 9.61 | 0.0 |
| 4 | 5.12 | 41.9 |
| 5 | 6.64 | 0.0 |
| 6 | 2.97 | 0.0 |
| 7 | 7.27 | 0.9 |
| 8 | 3.60 | 1.4 |